Record 1
Entry from the Alexandria database: a relaxed Ac4PmTh3Sb8 crystal (PBE).

Calculated values
Energy relative to the elements, uncorrected ... -1.102 eV per atom
Crystal system ... trigonal

a = 9.2614 Å, b = 9.2614 Å, c = 22.8809 Å
α = 90.00°, β = 90.00°, γ = 120.00°
Space group R-3m (No. 166, hexagonal axes)
Unique sites:
Ac: 0.0000 0.0000 0.0000 x3
Ac: 0.0000 0.5000 0.0000 x9
Pm: 0.0000 0.0000 0.5000 x3
Th: 0.0000 0.5000 0.5000 x9
Sb: 0.0000 0.0000 0.2442 x6
Sb: 0.9996 0.4998 0.2442 x18

Record 2
Entry from the Alexandria database: a relaxed CoAuBr2 crystal (PBE).

Calculated values
Energy relative to the elements, uncorrected ... 0.213 eV per atom
Crystal system ... trigonal

a = 3.3847 Å, b = 3.3847 Å, c = 30.3152 Å
α = 90.00°, β = 90.00°, γ = 120.00°
Space group R-3m (No. 166, hexagonal axes)
Unique sites:
Co: 0.0000 0.0000 0.0000 x3
Au: 0.0000 0.0000 0.5000 x3
Br: 0.0000 0.0000 0.2811 x6

Record 3
Entry from the Alexandria database: a relaxed BaLiB2Pt crystal (PBE).

Calculated values
ΔH_f (0 K) ... 133.1 kJ per mole of atoms
Crystal system ... tetragonal

a = 4.282 Å, b = 4.282 Å, c = 5.214 Å
α = 90.00°, β = 90.00°, γ = 90.00°
Space group P4/mmm (No. 123)
Unique sites:
Ba: 0.000 0.000 0.000 x1
Li: 0.000 0.000 0.500 x1
B: 0.000 0.500 0.500 x2
Pt: 0.500 0.500 0.000 x1

Record 4
Entry from the Alexandria database: a relaxed Cr2Ir3Os2 crystal (PBE).

Calculated values
ΔH_f (0 K) ... -4.0 kJ per mole of atoms
Crystal system ... triclinic

a = 4.649 Å, b = 4.657 Å, c = 4.663 Å
α = 98.94°, β = 99.44°, γ = 100.10°
Space group P-1 (No. 2)
Unique sites:
Cr: 0.140 0.070 0.291 x2
Ir: 0.000 0.500 0.000 x1
Ir: 0.288 0.653 0.569 x2
Os: 0.421 0.208 0.863 x2

Record 5
Entry from the Alexandria database: a relaxed InAsSe2F crystal (PBE).

Calculated values
Energy relative to the elements, uncorrected ... 0.090 eV per atom
Crystal system ... tetragonal

a = 5.304 Å, b = 5.304 Å, c = 3.985 Å
α = 90.00°, β = 90.00°, γ = 90.00°
Space group P4/mmm (No. 123)
Unique sites:
In: 0.000 0.000 0.000 x1
As: 0.500 0.500 0.000 x1
Se: 0.000 0.500 0.500 x2
F: 0.500 0.500 0.500 x1

Record 6
Entry from the Alexandria database: a relaxed Dy2PtAu crystal (PBE).

Calculated values
ΔH_f (0 K) ... -100.8 kJ per mole of atoms
Crystal system ... tetragonal

a = 3.533 Å, b = 3.533 Å, c = 7.154 Å
α = 90.00°, β = 90.00°, γ = 90.00°
Space group P4/mmm (No. 123)
Unique sites:
Dy: 0.000 0.000 0.241 x2
Pt: 0.500 0.500 0.000 x1
Au: 0.500 0.500 0.500 x1

Record 7
Entry from the Alexandria database: a relaxed Sm2Zn12Cu3Au crystal (PBE).

Calculated values
ΔH_f (0 K) ... -4.2 kJ per mole of atoms
Crystal system ... trigonal

a = 5.9558 Å, b = 5.9558 Å, c = 31.9355 Å
α = 90.00°, β = 90.00°, γ = 120.00°
Space group R-3m (No. 166, hexagonal axes)
Unique sites:
Sm: 0.0000 0.0000 0.1392 x6
Zn: 0.0163 0.5081 0.8933 x18
Zn: 0.0473 0.5237 0.6167 x18
Cu: 0.0000 0.5000 0.0000 x9
Au: 0.0000 0.0000 0.5000 x3

Record 8
Entry from the Alexandria database: a relaxed HoInNiHg crystal (PBE).

Calculated values
ΔH_f (0 K) ... -25.8 kJ per mole of atoms
Crystal system ... cubic

a = 6.878 Å, b = 6.878 Å, c = 6.878 Å
α = 90.00°, β = 90.00°, γ = 90.00°
Space group F-43m (No. 216)
Unique sites:
Ho: 0.000 0.000 0.000 x4
In: 0.000 0.000 0.500 x4
Ni: 0.250 0.250 0.750 x4
Hg: 0.250 0.250 0.250 x4

For each record above, in turn, the calculated magnetic moment values are 0.000, 2.864, 0.000, 0.000, 0.000, 0.000, 0.000, 0.000 μB/f.u..